Cr2SiW: optimized geometry, PBE.

Computed properties:
- Space group: P4/mmm (123)
- E_form (uncorrected): 0.1445 eV per atom
- Theoretical density: 10.0 g cm⁻³

Unit cell a=2.675 b=2.675 c=7.319 alpha=90.00 beta=90.00 gamma=90.00
Site moments in Bohr magnetons follow the coordinates.
Fractional positions:
1 Cr 0.000 0.000 0.030  0.73
2 Cr 0.000 0.000 0.470  0.73
3 Si 0.500 0.500 0.250  -0.02
4 W 0.500 0.500 0.750  0.01

---

RbTe2PbSe: optimized geometry, PBE.

Computed properties:
- Space group: P4/mmm (123)
- E_form (uncorrected): 0.0079 eV per atom
- Theoretical density: 5.5 g cm⁻³

Unit cell a=5.638 b=5.965 c=5.638 alpha=90.00 beta=90.00 gamma=90.00
Fractional positions:
1 Pb 0.500 0.500 0.500
2 Te 0.000 0.000 0.500
3 Te 0.500 0.000 0.000
4 Se 0.000 0.000 0.000
5 Rb 0.000 0.500 0.000

---

TlTcAu2: optimized geometry, PBE.

Computed properties:
- Distance to the lowest polymorph of the same formula: 117 meV per atom
- Space group: I4/mmm (139)
- Theoretical density: 15.2 g cm⁻³

Unit cell a=5.259 b=5.259 c=5.259 alpha=133.23 beta=133.23 gamma=68.30
Site moments in Bohr magnetons follow the coordinates.
Fractional positions:
1 Au 0.000 0.000 0.000  0.05
2 Au 0.500 0.500 0.000  0.05
3 Tc 0.250 0.750 0.500  2.06
4 Tl 0.750 0.250 0.500  -0.05

---

K2TaSe: optimized geometry, PBE.

Computed properties:
- Space group: I4/mmm (139)
- E_form (uncorrected): 0.7735 eV per atom
- Theoretical density: 5.2 g cm⁻³

Unit cell a=6.377 b=6.377 c=6.377 alpha=139.80 beta=139.80 gamma=58.15
Site moments in Bohr magnetons follow the coordinates.
Fractional positions:
1 K 0.000 0.000 0.000  0.03
2 K 0.500 0.500 0.000  0.03
3 Se 0.250 0.750 0.500  -0.02
4 Ta 0.750 0.250 0.500  1.68

---

Ti6PS: optimized geometry, PBE.

Computed properties:
- Space group: R-3 (148)
- E_form (uncorrected): -0.4959 eV per atom
- Theoretical density: 4.2 g cm⁻³

Unit cell a=5.473 b=5.473 c=6.228 alpha=63.96 beta=63.97 gamma=60.01
Fractional positions:
1 Ti 0.055 0.441 0.751
2 Ti 0.754 0.055 0.751
3 Ti 0.559 0.247 0.249
4 Ti 0.246 0.945 0.249
5 Ti 0.945 0.559 0.249
6 Ti 0.441 0.753 0.751
7 P 0.500 0.500 0.500
8 S 0.000 0.000 0.000

---

LaTiS3: optimized geometry, PBE.

Computed properties:
- Space group: Pm-3m (221)
- E_form (uncorrected): -0.1299 eV per atom
- Theoretical density: 3.0 g cm⁻³

Unit cell a=5.418 b=5.418 c=5.418 alpha=90.00 beta=90.00 gamma=90.00
Site moments in Bohr magnetons follow the coordinates.
Fractional positions:
1 La 0.000 0.000 0.000  0.04
2 Ti 0.500 0.500 0.500  -1.88
3 S 0.000 0.500 0.000  0.26
4 S 0.000 0.000 0.500  0.26
5 S 0.500 0.000 0.000  0.26